Compound: InHgMoIr2
Source: Alexandria
Functional: PBE-GGA
Structure: optimized geometry

```
5
Lattice="4.810 0.000 0.000 0.000 4.810 0.000 0.000 0.000 5.344" Properties=species:S:1:pos:R:3 pbc="T T T"
Ir 0.000 2.405 0.000
Ir 2.405 0.000 0.000
In 0.000 0.000 2.672
Hg 2.405 2.405 2.672
Mo 0.000 0.000 0.000
```

Summary:
Its symmetry is P4/mmm, No. 123. As for the total magnetization: 0.000 μB per formula unit. As for the formation energy: 1.227 eV per atom.